## Pr2NdCu2B2N3 (GGA-PBE)

Data for crystalline Pr2NdCu2B2N3 at its relaxed geometry.

It has space group I4/mmm (No. 139), with a = 3.6594 Å, b = 3.6594 Å, c = 20.8805 Å, α = 90.00°, β = 90.00° and γ = 90.00°. The asymmetric unit holds Pr at (0.0000, 0.0000, 0.1238), Nd at (0.0000, 0.0000, 0.5000), Cu at (0.0000, 0.5000, 0.2500), B at (0.0000, 0.0000, 0.3133), N at (0.0000, 0.0000, 0.0000) and N at (0.0000, 0.0000, 0.3818).

For the density, the calculation gives 7326 kg/m3. For the total DFT energy (no corrections), the calculation gives -137.92 eV per cell.